(1)
The following is a PBE calculation of an optimized crystal structure of ErTlNiPt, from Alexandria.

E_form = -178 kJ/mol of formula units
Volume = 18.8 A^3/atom
E = -20.60 eV per cell

Lattice parameters (Å, degrees): 4.7372 4.7372 4.7372 60.00 60.00 60.00
Fractional coordinates of all 4 atoms:
Ni  0.2500  0.2500  0.2500
Tl  0.0000  0.0000  0.0000
Pt  0.7500  0.7500  0.7500
Er  0.5000  0.5000  0.5000

(2)
The following is a PBE calculation of an optimized crystal structure of Y8CuTc2, from Alexandria.

E_form = -3 kJ/mol of formula units
Volume = 27.6 A^3/atom
E = -76.57 eV per cell

Lattice parameters (Å, degrees): 5.8643 7.6758 7.6758 112.04 100.29 100.29
Fractional coordinates of all 11 atoms:
Y  0.5838  0.3462  0.0806
Y  0.5838  0.0806  0.3462
Y  0.1854  0.3731  0.3731
Y  0.9868  0.2193  0.7840
Y  0.9868  0.7840  0.2193
Y  0.7895  0.6297  0.6297
Y  0.3845  0.9286  0.6634
Y  0.3845  0.6634  0.9286
Tc  0.4859  0.6954  0.3154
Tc  0.4859  0.3154  0.6954
Cu  0.1426  0.9982  0.9982

(3)
The following is a PBE calculation of an optimized crystal structure of Sr2InSn3Rh4, from Alexandria.

E_form = -590 kJ/mol of formula units
Volume = 22.7 A^3/atom
E = -53.63 eV per cell

Lattice parameters (Å, degrees): 4.5520 4.5520 10.9417 90.00 90.00 90.00
Fractional coordinates of all 10 atoms:
Sr  0.5000  0.0000  0.2434
Sr  0.0000  0.5000  0.7566
In  0.5000  0.5000  0.5000
Sn  0.0000  0.0000  0.5000
Sn  0.5000  0.0000  0.8750
Sn  0.0000  0.5000  0.1250
Rh  0.5000  0.5000  0.0000
Rh  0.0000  0.0000  0.0000
Rh  0.5000  0.0000  0.6336
Rh  0.0000  0.5000  0.3664